First-principles (GGA-PBE) data for an optimized crystal structure of CaHfNO2, as listed in Alexandria via LeMat-Bulk.

Summary:
The value obtained for the formation energy (no corrections) is -2.21 eV per atom. As for the final energy: -8.246 eV per atom. As for the calculated volume: 14.1 Å³/atom.

a b c (Å): 4.106 4.106 4.186
angles (deg): 90.00 90.00 90.00
Space group P4/mmm (No. 123)
Asymmetric unit:
Ca: 0.000 0.000 0.000
Hf: 0.500 0.500 0.500
N: 0.500 0.500 0.000
O: 0.000 0.500 0.500